1.
A plane-wave DFT calculation with PBE-GGA was carried out for crystalline ScCr2Ni at its relaxed geometry.

Output
Crystal system: tetragonal
ΔH_f (0 K): 0.56 eV per atom

a = 5.509 Å, b = 5.509 Å, c = 5.509 Å
α = 100.62°, β = 100.62°, γ = 129.16°
Fractional positions:
Sc (0.000, 0.000, 0.000)
Sc (0.750, 0.250, 0.500)
Cr (0.166, 0.625, 0.041)
Cr (0.375, 0.416, 0.541)
Cr (0.584, 0.125, 0.959)
Cr (0.875, 0.834, 0.459)
Ni (0.250, 0.750, 0.500)
Ni (0.500, 0.500, 0.000)


2.
A plane-wave DFT calculation with PBE-GGA was carried out for crystalline Sc3Se at its relaxed geometry.

Output
Crystal system: tetragonal
Formation energy (no corrections): -628 meV per atom

a = 3.475 Å, b = 3.475 Å, c = 7.158 Å
α = 90.00°, β = 90.00°, γ = 90.00°
Fractional positions:
Sc (0.000, 0.000, 0.000)
Sc (0.500, 0.500, 0.280)
Sc (0.500, 0.500, 0.720)
Se (0.000, 0.000, 0.500)